(1)
Entry from the Alexandria database: a geometry-optimized CoSe2 structure (GGA-PBE).

Calculated total energy: -4.99 eV/atom
Formation energy (no corrections): -28 kJ per mole of atoms
DOS at the Fermi energy: 6.9 states/eV/cell

```
CoSe2
1.0
10.0861 0.0000 0.0000
0.0000 3.6208 0.0000
0.0000 0.0000 5.9310
Co Se
4 8
Direct
0.1394 0.2500 0.1144
0.3606 0.7500 0.6144
0.6394 0.2500 0.3856
0.8606 0.7500 0.8856
0.0072 0.2500 0.7870
0.2285 0.2500 0.4892
0.2715 0.7500 0.9892
0.4928 0.7500 0.2870
0.5072 0.2500 0.7130
0.7285 0.2500 0.0108
0.7715 0.7500 0.5108
0.9928 0.7500 0.2130
```


(2)
Entry from the Alexandria database: a geometry-optimized Ba2CoAg structure (GGA-PBE).

Calculated total energy: -2.96 eV/atom
DOS at the Fermi energy: 7.7 states/eV/cell
Energy of formation: 492 meV per atom

```
Ba2CoAg
1.0
0.0000 3.8334 3.8334
3.8334 0.0000 3.8334
3.8334 3.8334 0.0000
Ba Co Ag
2 1 1
Direct
0.0000 0.0000 0.0000
0.2500 0.2500 0.2500
0.7500 0.7500 0.7500
0.5000 0.5000 0.5000
```


(3)
Entry from the Alexandria database: a geometry-optimized PmTh2CrC4 structure (GGA-PBE).

Calculated total energy: -8.31 eV/atom
DOS at the Fermi energy: 8.5 states/eV/cell
Energy of formation: -49 meV per atom

```
PmTh2CrC4
1.0
1.8162 -6.0607 0.0000
1.8162 6.0607 0.0000
0.0000 0.0000 12.5663
Pm Th Cr C
2 4 2 8
Direct
0.1037 0.8963 0.7500
0.8963 0.1037 0.2500
0.3671 0.6329 0.5451
0.3671 0.6329 0.9549
0.6329 0.3671 0.0451
0.6329 0.3671 0.4549
0.1747 0.8253 0.2500
0.8253 0.1747 0.7500
0.0000 0.0000 0.0000
0.0000 0.0000 0.5000
0.2681 0.7319 0.1374
0.2681 0.7319 0.3626
0.3975 0.6025 0.7500
0.6025 0.3975 0.2500
0.7319 0.2681 0.6374
0.7319 0.2681 0.8626
```


(4)
Entry from the Alexandria database: a geometry-optimized Np3Nb2WC6 structure (GGA-PBE).

Calculated total energy: -10.83 eV/atom
DOS at the Fermi energy: 10.5 states/eV/cell
Energy of formation: -226 meV per atom

```
Np3Nb2WC6
1.0
2.8098 -4.8654 0.0000
2.8098 4.8654 0.0000
-1.8720 0.0000 5.5725
Np Nb W C
3 2 1 6
Direct
0.0000 0.0000 0.0000
0.3317 0.6683 0.0000
0.6683 0.3317 0.0000
0.1665 0.8335 0.5000
0.8335 0.1665 0.5000
0.5000 0.5000 0.5000
0.0973 0.4247 0.2740
0.2484 0.2484 0.7278
0.4247 0.0973 0.2740
0.5753 0.9027 0.7260
0.7516 0.7516 0.2722
0.9027 0.5753 0.7260
```


(5)
Entry from the Alexandria database: a geometry-optimized NdSm2Tm structure (GGA-PBE).

Calculated total energy: -4.65 eV/atom
DOS at the Fermi energy: 5.1 states/eV/cell
Energy of formation: 20 meV per atom

```
NdSm2Tm
1.0
1.8036 1.0413 11.7516
-1.8036 1.0413 11.7516
0.0000 -2.0827 11.7516
Nd Sm Tm
1 2 1
Direct
0.0000 0.0000 0.0000
0.2481 0.2481 0.2481
0.7519 0.7519 0.7519
0.5000 0.5000 0.5000
```


(6)
Entry from the Alexandria database: a geometry-optimized BaCd3 structure (GGA-PBE).

Calculated total energy: -1.44 eV/atom
DOS at the Fermi energy: 4.6 states/eV/cell
Energy of formation: -271 meV per atom

```
BaCd3
1.0
5.0000 0.0000 0.0000
0.0000 7.1706 0.0000
0.0000 0.0000 6.9736
Ba Cd
2 6
Direct
0.2500 0.2500 0.1066
0.7500 0.7500 0.8934
0.2500 0.0214 0.6279
0.2500 0.4786 0.6279
0.2500 0.7500 0.2863
0.7500 0.2500 0.7137
0.7500 0.5214 0.3721
0.7500 0.9786 0.3721
```